Material: LaBeGaPd
Method: DFT, PBE
State: relaxed

Results
Final energy in eV/cell: -17.99
Magnetization in μB per formula unit: 0.00
ΔE to the lowest computed polymorph in meV per atom: 0
SG: F-43m
Density in g cm⁻³: 7.10

a b c (Å): 4.750 4.750 4.750
angles (deg): 60.00 60.00 60.00
Fractional positions:
La  0.000  0.000  0.000
Be  0.750  0.750  0.750
Ga  0.500  0.500  0.500
Pd  0.250  0.250  0.250

Material: LaBeGaPd
Method: DFT, PBE
State: relaxed

Results
Final energy in eV/cell: -17.72
Magnetization in μB per formula unit: 0.00
ΔE to the lowest computed polymorph in meV per atom: 65
SG: F-43m
Density in g cm⁻³: 6.91

a b c (Å): 4.794 4.794 4.794
angles (deg): 60.00 60.00 60.00
Fractional positions:
La  0.000  0.000  0.000
Be  0.500  0.500  0.500
Ga  0.750  0.750  0.750
Pd  0.250  0.250  0.250

Material: LaBeGaPt
Method: DFT, PBE
State: relaxed

Results
Final energy in eV/cell: -19.32
Magnetization in μB per formula unit: 0.00
ΔE to the lowest computed polymorph in meV per atom: 0
SG: F-43m
Density in g cm⁻³: 9.45

a b c (Å): 4.682 4.682 4.682
angles (deg): 60.00 60.00 60.00
Fractional positions:
La  0.000  0.000  0.000
Be  0.250  0.250  0.250
Ga  0.750  0.750  0.750
Pt  0.500  0.500  0.500

Material: LaBeGaPt
Method: DFT, PBE
State: relaxed

Results
Final energy in eV/cell: -18.86
Magnetization in μB per formula unit: 0.00
ΔE to the lowest computed polymorph in meV per atom: 115
SG: F-43m
Density in g cm⁻³: 8.77

a b c (Å): 4.800 4.800 4.800
angles (deg): 60.00 60.00 60.00
Fractional positions:
La  0.000  0.000  0.000
Be  0.500  0.500  0.500
Ga  0.250  0.250  0.250
Pt  0.750  0.750  0.750

Q: What is the final energy in the first record?
A: -17.99 eV/cell

Please write out number 4 again, unchanged.
Material: LaBeGaPt
Method: DFT, PBE
State: relaxed

Results
Final energy in eV/cell: -18.86
Magnetization in μB per formula unit: 0.00
ΔE to the lowest computed polymorph in meV per atom: 115
SG: F-43m
Density in g cm⁻³: 8.77

a b c (Å): 4.800 4.800 4.800
angles (deg): 60.00 60.00 60.00
Fractional positions:
La  0.000  0.000  0.000
Be  0.500  0.500  0.500
Ga  0.250  0.250  0.250
Pt  0.750  0.750  0.750